No. 1
First-principles (PBE) data for a relaxed CaLa2ReBi crystal, as listed in the Alexandria database.

Cell lengths 6.027, 5.586, 6.027 Å; angles 90.00, 90.00, 90.00 degrees
Element x y z (fractional)
Re 0.500 0.500 0.500
Ca 0.000 0.500 0.000
Bi 0.000 0.000 0.000
La 0.000 0.000 0.500
La 0.500 0.000 0.000

Properties
ΔH_f (0 K): 28.362 kcal/mol of atoms
raw total energy: -22.036 eV for the cell shown
space group: P4/mmm (123)

No. 2
First-principles (PBE) data for a relaxed Zn3Ag crystal, as listed in the Alexandria database.

Cell lengths 5.811, 4.416, 4.836 Å; angles 90.00, 90.00, 90.00 degrees
Element x y z (fractional)
Ag 0.000 0.000 0.660
Ag 0.500 0.500 0.340
Zn 0.000 0.500 0.319
Zn 0.247 0.000 0.165
Zn 0.253 0.500 0.835
Zn 0.500 0.000 0.681
Zn 0.753 0.000 0.165
Zn 0.747 0.500 0.835

Properties
ΔH_f (0 K): -0.733 kcal/mol of atoms
raw total energy: -13.601 eV for the cell shown
space group: Pmmn (59)

No. 3
First-principles (PBE) data for a relaxed NaYMg2Ni crystal, as listed in the Alexandria database.

Cell lengths 5.072, 5.072, 5.025 Å; angles 90.00, 90.00, 90.00 degrees
Element x y z (fractional)
Y 0.000 0.000 0.500
Ni 0.000 0.000 0.000
Mg 0.000 0.500 0.000
Mg 0.500 0.000 0.000
Na 0.500 0.500 0.500

Properties
ΔH_f (0 K): -0.487 kcal/mol of atoms
raw total energy: -16.859 eV for the cell shown
space group: P4/mmm (123)

No. 4
First-principles (PBE) data for a relaxed Re2GeI crystal, as listed in the Alexandria database.

Cell lengths 5.806, 5.806, 7.041 Å; angles 65.65, 65.65, 90.00 degrees
Element x y z (fractional)
I 0.000 0.000 0.000
I 0.750 0.250 0.500
Re 0.605 0.125 0.250
Re 0.145 0.625 0.250
Re 0.375 0.395 0.750
Re 0.875 0.855 0.750
Ge 0.500 0.500 0.000
Ge 0.250 0.750 0.500

Properties
raw total energy: -49.349 eV for the cell shown
formation energy without anion corrections: 6.389 eV/f.u.
space group: I-42d (122)
relative energy among the computed polymorphs: 534 meV per atom

No. 5
First-principles (PBE) data for a relaxed NdY4Sc crystal, as listed in the Alexandria database.

Cell lengths 5.013, 5.013, 8.982 Å; angles 90.00, 90.00, 89.97 degrees
Element x y z (fractional)
Nd 0.997 0.001 0.502
Y 0.997 0.501 0.791
Y 0.997 0.501 0.212
Y 0.497 0.001 0.212
Y 0.497 0.001 0.791
Sc 0.497 0.501 0.002

Properties
ΔH_f (0 K): 15.853 kcal/mol of atoms
raw total energy: -32.831 eV for the cell shown
space group: P4/mmm (123)
relative energy among the computed polymorphs: 485 meV per atom

No. 6
First-principles (PBE) data for a relaxed CsAgCl3 crystal, as listed in the Alexandria database.

Cell lengths 7.348, 7.517, 7.348 Å; angles 119.25, 89.99, 119.26 degrees
Element x y z (fractional)
Cs 0.250 0.500 0.750
Cs 0.750 0.500 0.250
Ag 0.000 0.000 0.000
Ag 0.500 0.000 0.500
Cl 0.237 0.000 0.237
Cl 0.237 0.000 0.763
Cl 0.763 0.000 0.763
Cl 0.763 0.000 0.237
Cl 0.724 0.448 0.724
Cl 0.276 0.552 0.276

Properties
raw total energy: -29.346 eV for the cell shown
formation energy without anion corrections: -5.428 eV/f.u.
space group: I4/mmm (139)

No. 7
First-principles (PBE) data for a relaxed CuSb4As crystal, as listed in the Alexandria database.

Cell lengths 6.114, 6.114, 6.114 Å; angles 60.00, 60.00, 60.00 degrees
Element x y z (fractional)
Cu 0.000 0.000 0.000
Sb 0.375 0.876 0.375
Sb 0.876 0.375 0.375
Sb 0.375 0.375 0.876
Sb 0.375 0.375 0.375
As 0.750 0.750 0.750

Properties
raw total energy: -20.891 eV for the cell shown
formation energy without anion corrections: 4.344 eV/f.u.
space group: F-43m (216)

No. 8
First-principles (PBE) data for a relaxed TlZnGa crystal, as listed in the Alexandria database.

Cell lengths 3.357, 3.357, 6.413 Å; angles 105.17, 105.17, 90.00 degrees
Element x y z (fractional)
Tl 0.997 0.997 0.995
Zn 0.309 0.309 0.618
Ga 0.694 0.694 0.387

Properties
ΔH_f (0 K): 2.859 kcal/mol of atoms
raw total energy: -6.295 eV for the cell shown
space group: I4mm (107)

No. 9
First-principles (PBE) data for a relaxed KCuCl crystal, as listed in the Alexandria database.

Cell lengths 5.196, 5.196, 5.196 Å; angles 60.00, 60.00, 60.00 degrees
Each line ends with the local moment (μB).
Element x y z (fractional)
K 0.250 0.250 0.250  0.02
Cu 0.500 0.500 0.500  0.17
Cl 0.000 0.000 0.000  0.08

Properties
raw total energy: -7.292 eV for the cell shown
formation energy without anion corrections: -0.252 eV/f.u.
space group: F-43m (216)
relative energy among the computed polymorphs: 256 meV per atom

No. 10
First-principles (PBE) data for a relaxed Zr2HgPb crystal, as listed in the Alexandria database.

Cell lengths 4.432, 4.432, 6.678 Å; angles 70.62, 70.62, 60.00 degrees
Element x y z (fractional)
Zr 0.074 0.074 0.778
Zr 0.262 0.262 0.214
Hg 0.666 0.666 0.001
Pb 0.498 0.498 0.507

Properties
ΔH_f (0 K): 2.923 kcal/mol of atoms
raw total energy: -20.599 eV for the cell shown
space group: R3m (160)
relative energy among the computed polymorphs: 302 meV per atom

No. 11
First-principles (PBE) data for a relaxed La7PrDy3 crystal, as listed in the Alexandria database.

Cell lengths 6.521, 7.877, 7.878 Å; angles 82.13, 94.72, 94.71 degrees
Element x y z (fractional)
La 0.212 0.235 0.235
La 0.265 0.935 0.575
La 0.735 0.425 0.065
La 0.265 0.575 0.935
La 0.000 0.500 0.500
La 0.735 0.065 0.425
La 0.788 0.765 0.765
Pr 0.500 0.500 0.500
Dy 0.000 0.833 0.167
Dy 0.500 0.000 0.000
Dy 0.000 0.167 0.833

Properties
ΔH_f (0 K): 4.799 kcal/mol of atoms
raw total energy: -50.789 eV for the cell shown
space group: C2/m (12)
relative energy among the computed polymorphs: 35 meV per atom

No. 12
First-principles (PBE) data for a relaxed Na5ThO4 crystal, as listed in the Alexandria database.

Cell lengths 3.615, 6.965, 7.628 Å; angles 100.07, 103.71, 90.00 degrees
Element x y z (fractional)
Na 0.837 0.702 0.673
Na 0.820 0.129 0.640
Na 0.180 0.871 0.360
Na 0.500 0.500 0.000
Na 0.163 0.298 0.327
Th 0.500 0.000 0.000
O 0.344 0.922 0.689
O 0.005 0.775 0.009
O 0.656 0.078 0.311
O 0.995 0.225 0.991

Properties
raw total energy: -52.902 eV for the cell shown
formation energy without anion corrections: -19.054 eV/f.u.
space group: C2/m (12)
relative energy among the computed polymorphs: 0 meV per atom